KCuTe2PbS: relaxed, PBE.

The structure in CIF format:
```
data_KCuTe2PbS
_chemical_formula_sum 'K2 Cu2 Te4 Pb2 S2'
_cell_length_a 7.4811
_cell_length_b 7.4811
_cell_length_c 11.6331
_cell_angle_alpha 90.00
_cell_angle_beta 90.00
_cell_angle_gamma 148.70
_space_group_name_H-M_alt 'P 1'
_space_group_IT_number 1
loop_
_space_group_symop_operation_xyz
'x,y,z'
loop_
_atom_site_label
_atom_site_type_symbol
_atom_site_fract_x
_atom_site_fract_y
_atom_site_fract_z
K1 K 0.1990 0.8010 0.7500
K2 K 0.8010 0.1990 0.2500
Cu1 Cu 0.0550 0.9450 0.2500
Cu2 Cu 0.9450 0.0550 0.7500
Te1 Te 0.1672 0.8328 0.0539
Te2 Te 0.1672 0.8328 0.4461
Te3 Te 0.8328 0.1672 0.5539
Te4 Te 0.8328 0.1672 0.9461
Pb1 Pb 0.5000 0.5000 0.0000
Pb2 Pb 0.5000 0.5000 0.5000
S1 S 0.4817 0.5183 0.2500
S2 S 0.5183 0.4817 0.7500
```

total energy: -42.7 eV for the cell shown



YNbBi2: relaxed, PBE.

The structure in CIF format:
```
data_YNbBi2
_chemical_formula_sum 'Y4 Nb4 Bi8'
_cell_length_a 7.4284
_cell_length_b 7.4284
_cell_length_c 7.4284
_cell_angle_alpha 90.00
_cell_angle_beta 90.00
_cell_angle_gamma 90.00
_space_group_name_H-M_alt 'P 1'
_space_group_IT_number 1
loop_
_space_group_symop_operation_xyz
'x,y,z'
loop_
_atom_site_label
_atom_site_type_symbol
_atom_site_fract_x
_atom_site_fract_y
_atom_site_fract_z
Y1 Y 0.0000 0.0000 0.0000
Y2 Y 0.0000 0.5000 0.5000
Y3 Y 0.5000 0.0000 0.5000
Y4 Y 0.5000 0.5000 0.0000
Nb1 Nb 0.2500 0.2500 0.7500
Nb2 Nb 0.2500 0.7500 0.2500
Nb3 Nb 0.7500 0.2500 0.2500
Nb4 Nb 0.7500 0.7500 0.7500
Bi1 Bi 0.0000 0.0000 0.5000
Bi2 Bi 0.0000 0.5000 0.0000
Bi3 Bi 0.2500 0.2500 0.2500
Bi4 Bi 0.2500 0.7500 0.7500
Bi5 Bi 0.5000 0.0000 0.0000
Bi6 Bi 0.5000 0.5000 0.5000
Bi7 Bi 0.7500 0.2500 0.7500
Bi8 Bi 0.7500 0.7500 0.2500
```

total energy: -94.3 eV for the cell shown
size of the total moment: 2.0 μB/f.u.



RbBPd3: relaxed, PBE.

The structure in CIF format:
```
data_RbBPd3
_chemical_formula_sum 'Rb2 B2 Pd6'
_cell_length_a 5.8377
_cell_length_b 5.8377
_cell_length_c 5.8054
_cell_angle_alpha 90.00
_cell_angle_beta 90.00
_cell_angle_gamma 120.00
_space_group_name_H-M_alt 'P 1'
_space_group_IT_number 1
loop_
_space_group_symop_operation_xyz
'x,y,z'
loop_
_atom_site_label
_atom_site_type_symbol
_atom_site_fract_x
_atom_site_fract_y
_atom_site_fract_z
Rb1 Rb 0.0000 0.0000 0.0000
Rb2 Rb 0.0000 0.0000 0.5000
B1 B 0.3333 0.6667 0.0000
B2 B 0.6667 0.3333 0.0000
Pd1 Pd 0.0000 0.5000 0.2449
Pd2 Pd 0.0000 0.5000 0.7551
Pd3 Pd 0.5000 0.0000 0.2449
Pd4 Pd 0.5000 0.0000 0.7551
Pd5 Pd 0.5000 0.5000 0.2449
Pd6 Pd 0.5000 0.5000 0.7551
```

total energy: -47.1 eV for the cell shown



AlCu: relaxed, PBE.

The structure in CIF format:
```
data_AlCu
_chemical_formula_sum 'Al5 Cu5'
_cell_length_a 4.0964
_cell_length_b 6.3630
_cell_length_c 6.3668
_cell_angle_alpha 101.76
_cell_angle_beta 108.76
_cell_angle_gamma 108.68
_space_group_name_H-M_alt 'P 1'
_space_group_IT_number 1
loop_
_space_group_symop_operation_xyz
'x,y,z'
loop_
_atom_site_label
_atom_site_type_symbol
_atom_site_fract_x
_atom_site_fract_y
_atom_site_fract_z
Al1 Al 0.0000 0.0000 0.0000
Al2 Al 0.3057 0.6496 0.9608
Al3 Al 0.3825 0.2618 0.5035
Al4 Al 0.6175 0.7382 0.4965
Al5 Al 0.6943 0.3504 0.0392
Cu1 Cu 0.0000 0.5000 0.5000
Cu2 Cu 0.0169 0.7744 0.2587
Cu3 Cu 0.3369 0.9469 0.7273
Cu4 Cu 0.6631 0.0531 0.2727
Cu5 Cu 0.9831 0.2256 0.7413
```

total energy: -39.4 eV for the cell shown



TbY2Sn3Pt3: relaxed, PBE.

The structure in CIF format:
```
data_TbY2Sn3Pt3
_chemical_formula_sum 'Tb1 Y2 Sn3 Pt3'
_cell_length_a 4.0299
_cell_length_b 7.5258
_cell_length_c 7.5258
_cell_angle_alpha 119.98
_cell_angle_beta 90.00
_cell_angle_gamma 90.00
_space_group_name_H-M_alt 'P 1'
_space_group_IT_number 1
loop_
_space_group_symop_operation_xyz
'x,y,z'
loop_
_atom_site_label
_atom_site_type_symbol
_atom_site_fract_x
_atom_site_fract_y
_atom_site_fract_z
Tb1 Tb 0.0000 0.0000 0.0000
Y1 Y 0.0000 0.4062 0.8119
Y2 Y 0.0000 0.8119 0.4062
Sn1 Sn 0.5000 0.1480 0.4065
Sn2 Sn 0.5000 0.4065 0.1480
Sn3 Sn 0.5000 0.6644 0.6644
Pt1 Pt 0.0000 0.4061 0.4061
Pt2 Pt 0.5000 0.0730 0.7399
Pt3 Pt 0.5000 0.7399 0.0730
```

total energy: -57.6 eV for the cell shown
size of the total moment: 0.0 μB/f.u.



In2Pd2O5: relaxed, PBE.

The structure in CIF format:
```
data_In2Pd2O5
_chemical_formula_sum 'In2 Pd2 O5'
_cell_length_a 3.7896
_cell_length_b 3.7896
_cell_length_c 8.3850
_cell_angle_alpha 90.00
_cell_angle_beta 90.00
_cell_angle_gamma 90.00
_space_group_name_H-M_alt 'P 1'
_space_group_IT_number 1
loop_
_space_group_symop_operation_xyz
'x,y,z'
loop_
_atom_site_label
_atom_site_type_symbol
_atom_site_fract_x
_atom_site_fract_y
_atom_site_fract_z
In1 In 0.0000 0.0000 0.2445
In2 In 0.0000 0.0000 0.7555
Pd1 Pd 0.5000 0.5000 0.0000
Pd2 Pd 0.5000 0.5000 0.5000
O1 O 0.0000 0.0000 0.0000
O2 O 0.0000 0.5000 0.3549
O3 O 0.0000 0.5000 0.6451
O4 O 0.5000 0.0000 0.3549
O5 O 0.5000 0.0000 0.6451
```

total energy: -45.1 eV for the cell shown
ΔE to the lowest computed polymorph: 0.419 eV/f.u.



PuThZn: relaxed, PBE.

The structure in CIF format:
```
data_PuThZn
_chemical_formula_sum 'Pu4 Th4 Zn4'
_cell_length_a 6.9718
_cell_length_b 6.9718
_cell_length_c 6.9718
_cell_angle_alpha 90.00
_cell_angle_beta 90.00
_cell_angle_gamma 90.00
_space_group_name_H-M_alt 'P 1'
_space_group_IT_number 1
loop_
_space_group_symop_operation_xyz
'x,y,z'
loop_
_atom_site_label
_atom_site_type_symbol
_atom_site_fract_x
_atom_site_fract_y
_atom_site_fract_z
Pu1 Pu 0.0000 0.0000 0.0000
Pu2 Pu 0.0000 0.5000 0.5000
Pu3 Pu 0.5000 0.0000 0.5000
Pu4 Pu 0.5000 0.5000 0.0000
Th1 Th 0.0000 0.0000 0.5000
Th2 Th 0.0000 0.5000 0.0000
Th3 Th 0.5000 0.0000 0.0000
Th4 Th 0.5000 0.5000 0.5000
Zn1 Zn 0.2500 0.2500 0.2500
Zn2 Zn 0.2500 0.7500 0.7500
Zn3 Zn 0.7500 0.2500 0.7500
Zn4 Zn 0.7500 0.7500 0.2500
```

total energy: -88.3 eV for the cell shown
size of the total moment: 6.2 μB/f.u.
ΔE_f: 0.2414 eV per atom
ΔE to the lowest computed polymorph: 0.000 eV/f.u.



LiHfNiGe: relaxed, PBE.

The structure in CIF format:
```
data_LiHfNiGe
_chemical_formula_sum 'Li4 Hf4 Ni4 Ge4'
_cell_length_a 6.1686
_cell_length_b 6.1686
_cell_length_c 6.1686
_cell_angle_alpha 90.00
_cell_angle_beta 90.00
_cell_angle_gamma 90.00
_space_group_name_H-M_alt 'P 1'
_space_group_IT_number 1
loop_
_space_group_symop_operation_xyz
'x,y,z'
loop_
_atom_site_label
_atom_site_type_symbol
_atom_site_fract_x
_atom_site_fract_y
_atom_site_fract_z
Li1 Li 0.0000 0.0000 0.0000
Li2 Li 0.0000 0.5000 0.5000
Li3 Li 0.5000 0.0000 0.5000
Li4 Li 0.5000 0.5000 0.0000
Hf1 Hf 0.2500 0.2500 0.2500
Hf2 Hf 0.2500 0.7500 0.7500
Hf3 Hf 0.7500 0.2500 0.7500
Hf4 Hf 0.7500 0.7500 0.2500
Ni1 Ni 0.2500 0.2500 0.7500
Ni2 Ni 0.2500 0.7500 0.2500
Ni3 Ni 0.7500 0.2500 0.2500
Ni4 Ni 0.7500 0.7500 0.7500
Ge1 Ge 0.0000 0.0000 0.5000
Ge2 Ge 0.0000 0.5000 0.0000
Ge3 Ge 0.5000 0.0000 0.0000
Ge4 Ge 0.5000 0.5000 0.5000
```

total energy: -90.9 eV for the cell shown
size of the total moment: 0.7 μB/f.u.
ΔE to the lowest computed polymorph: 0.801 eV/f.u.



SrTbZnSe3: relaxed, PBE.

The structure in CIF format:
```
data_SrTbZnSe3
_chemical_formula_sum 'Sr2 Tb2 Zn2 Se6'
_cell_length_a 7.3387
_cell_length_b 7.3387
_cell_length_c 10.7023
_cell_angle_alpha 90.00
_cell_angle_beta 90.00
_cell_angle_gamma 147.49
_space_group_name_H-M_alt 'P 1'
_space_group_IT_number 1
loop_
_space_group_symop_operation_xyz
'x,y,z'
loop_
_atom_site_label
_atom_site_type_symbol
_atom_site_fract_x
_atom_site_fract_y
_atom_site_fract_z
Sr1 Sr 0.2430 0.7570 0.7500
Sr2 Sr 0.7570 0.2430 0.2500
Tb1 Tb 0.0000 0.0000 0.0000
Tb2 Tb 0.0000 0.0000 0.5000
Zn1 Zn 0.4735 0.5265 0.2500
Zn2 Zn 0.5265 0.4735 0.7500
Se1 Se 0.0808 0.9192 0.2500
Se2 Se 0.3596 0.6404 0.0701
Se3 Se 0.3596 0.6404 0.4299
Se4 Se 0.6404 0.3596 0.5701
Se5 Se 0.6404 0.3596 0.9299
Se6 Se 0.9192 0.0808 0.7500
```

total energy: -52.7 eV for the cell shown
size of the total moment: 0.3 μB/f.u.



NaLiPt: relaxed, PBE.

The structure in CIF format:
```
data_NaLiPt
_chemical_formula_sum 'Na4 Li4 Pt4'
_cell_length_a 6.0786
_cell_length_b 6.0786
_cell_length_c 6.0786
_cell_angle_alpha 90.00
_cell_angle_beta 90.00
_cell_angle_gamma 90.00
_space_group_name_H-M_alt 'P 1'
_space_group_IT_number 1
loop_
_space_group_symop_operation_xyz
'x,y,z'
loop_
_atom_site_label
_atom_site_type_symbol
_atom_site_fract_x
_atom_site_fract_y
_atom_site_fract_z
Na1 Na 0.0000 0.0000 0.0000
Na2 Na 0.0000 0.5000 0.5000
Na3 Na 0.5000 0.0000 0.5000
Na4 Na 0.5000 0.5000 0.0000
Li1 Li 0.2500 0.2500 0.2500
Li2 Li 0.2500 0.7500 0.7500
Li3 Li 0.7500 0.2500 0.7500
Li4 Li 0.7500 0.7500 0.2500
Pt1 Pt 0.0000 0.0000 0.5000
Pt2 Pt 0.0000 0.5000 0.0000
Pt3 Pt 0.5000 0.0000 0.0000
Pt4 Pt 0.5000 0.5000 0.5000
```

total energy: -37.5 eV for the cell shown
size of the total moment: 0.0 μB/f.u.
ΔE to the lowest computed polymorph: 0.000 eV/f.u.



NaCdInAg: relaxed, PBE.

The structure in CIF format:
```
data_NaCdInAg
_chemical_formula_sum 'Na4 Cd4 In4 Ag4'
_cell_length_a 7.0845
_cell_length_b 7.0845
_cell_length_c 7.0845
_cell_angle_alpha 90.00
_cell_angle_beta 90.00
_cell_angle_gamma 90.00
_space_group_name_H-M_alt 'P 1'
_space_group_IT_number 1
loop_
_space_group_symop_operation_xyz
'x,y,z'
loop_
_atom_site_label
_atom_site_type_symbol
_atom_site_fract_x
_atom_site_fract_y
_atom_site_fract_z
Na1 Na 0.0000 0.0000 0.0000
Na2 Na 0.0000 0.5000 0.5000
Na3 Na 0.5000 0.0000 0.5000
Na4 Na 0.5000 0.5000 0.0000
Cd1 Cd 0.0000 0.0000 0.5000
Cd2 Cd 0.0000 0.5000 0.0000
Cd3 Cd 0.5000 0.0000 0.0000
Cd4 Cd 0.5000 0.5000 0.5000
In1 In 0.2500 0.2500 0.2500
In2 In 0.2500 0.7500 0.7500
In3 In 0.7500 0.2500 0.7500
In4 In 0.7500 0.7500 0.2500
Ag1 Ag 0.2500 0.2500 0.7500
Ag2 Ag 0.2500 0.7500 0.2500
Ag3 Ag 0.7500 0.2500 0.2500
Ag4 Ag 0.7500 0.7500 0.7500
```

total energy: -32.0 eV for the cell shown
ΔE to the lowest computed polymorph: 0.106 eV/f.u.



SrGeOs: relaxed, PBE.

The structure in CIF format:
```
data_SrGeOs
_chemical_formula_sum 'Sr4 Ge4 Os4'
_cell_length_a 6.5309
_cell_length_b 6.5309
_cell_length_c 6.5309
_cell_angle_alpha 90.00
_cell_angle_beta 90.00
_cell_angle_gamma 90.00
_space_group_name_H-M_alt 'P 1'
_space_group_IT_number 1
loop_
_space_group_symop_operation_xyz
'x,y,z'
loop_
_atom_site_label
_atom_site_type_symbol
_atom_site_fract_x
_atom_site_fract_y
_atom_site_fract_z
Sr1 Sr 0.0000 0.0000 0.0000
Sr2 Sr 0.0000 0.5000 0.5000
Sr3 Sr 0.5000 0.0000 0.5000
Sr4 Sr 0.5000 0.5000 0.0000
Ge1 Ge 0.0000 0.0000 0.5000
Ge2 Ge 0.0000 0.5000 0.0000
Ge3 Ge 0.5000 0.0000 0.0000
Ge4 Ge 0.5000 0.5000 0.5000
Os1 Os 0.2500 0.2500 0.7500
Os2 Os 0.2500 0.7500 0.2500
Os3 Os 0.7500 0.2500 0.2500
Os4 Os 0.7500 0.7500 0.7500
```

total energy: -63.3 eV for the cell shown
size of the total moment: 0.0 μB/f.u.